Entry 1:
An optimized crystal structure of AsC3. Source: the Alexandria database, functional PBE-GGA.

The structure in CIF format:
```
data_AsC3
_cell_length_a 2.504
_cell_length_b 3.814
_cell_length_c 9.765
_cell_angle_alpha 90.00
_cell_angle_beta 90.00
_cell_angle_gamma 90.00
_space_group_name_H-M_alt 'P 1'
_space_group_IT_number 1
loop_
_space_group_symop_operation_xyz
'x,y,z'
loop_
_atom_site_label
_atom_site_fract_x
_atom_site_fract_y
_atom_site_fract_z
C1 0.500 0.000 0.747
C2 0.000 0.000 0.679
C3 0.500 0.000 0.898
C4 0.000 0.500 0.398
C5 0.500 0.500 0.179
C6 0.000 0.500 0.247
As1 0.000 0.000 0.477
As2 0.500 0.500 0.977
```

Values from the calculation:
For the final energy, the calculation gives -56.88 eV per cell. For the excess energy over the best structure of this formula in the dataset, the calculation gives 80 kJ/mol of formula units. Its formation energy is 22.4 kcal/mol of atoms.

---

Entry 2:
An optimized crystal structure of Er3TlBi2. Source: the Alexandria database, functional PBE-GGA.

The structure in CIF format:
```
data_Er3TlBi2
_cell_length_a 7.327
_cell_length_b 7.714
_cell_length_c 7.714
_cell_angle_alpha 116.92
_cell_angle_beta 99.70
_cell_angle_gamma 99.70
_space_group_name_H-M_alt 'P 1'
_space_group_IT_number 1
loop_
_space_group_symop_operation_xyz
'x,y,z'
loop_
_atom_site_label
_atom_site_fract_x
_atom_site_fract_y
_atom_site_fract_z
Bi1 0.750 0.086 0.914
Bi2 0.250 0.256 0.744
Bi3 0.250 0.914 0.086
Bi4 0.750 0.744 0.256
Er1 0.005 0.846 0.677
Er2 0.995 0.154 0.323
Er3 0.505 0.677 0.846
Er4 0.500 0.000 0.500
Er5 0.495 0.323 0.154
Er6 0.000 0.500 0.000
Tl1 0.750 0.423 0.577
Tl2 0.250 0.577 0.423
```

Values from the calculation:
For the final energy, the calculation gives -54.04 eV per cell. Its formation energy is -12.3 kcal/mol of atoms.